Here is Li3GaSn after structural relaxation from Alexandria. Energies are from PBE.

Lattice parameters (Å, degrees): 4.7717 4.7717 4.7717 90.00 90.00 90.00
With the nearest neighbours (Å) after each atom.
Atoms (fractional coordinates):
Sn: 0.5000 0.5000 0.5000  12 Li 3.37
Ga: 0.0000 0.0000 0.0000  6 Li 2.39
Li: 0.0000 0.5000 0.0000  2 Ga 2.39
Li: 0.0000 0.0000 0.5000  2 Ga 2.39
Li: 0.5000 0.0000 0.0000  2 Ga 2.39

Output
Symmetry ... Pm-3m (221)
DOS at the Fermi energy ... 0.4651 states/eV/atom
Formation enthalpy at 0 K ... 0.4 eV per formula unit
Energy relative to the lowest polymorph listed for this composition ... 0.3851 eV per atom
Density ... 3.198 g/cm3